DFT (PBE) results for a relaxed structure of CoCuPdPb.

The structure belongs to space group F-43m (No. 216); the cell edges are 6.266, 6.266 and 6.266 Å and the angles 90.00°, 90.00° and 90.00°. Symmetry generates all atoms from Co at (0.000, 0.000, 0.000), Cu at (0.000, 0.000, 0.500), Pd at (0.250, 0.250, 0.250) and Pb at (0.250, 0.250, 0.750).

The value obtained for the magnetic moment is 3.917 μB per cell. As for the density: 11776 kg/m³. The relative energy among the computed polymorphs is 0.000 eV per atom.



DFT (PBE) results for a relaxed structure of PmCdAs.

The structure belongs to space group F-43m (No. 216); the cell edges are 7.046, 7.046 and 7.046 Å and the angles 90.00°, 90.00° and 90.00°. Symmetry generates all atoms from Pm at (0.000, 0.000, 0.000), Cd at (0.250, 0.250, 0.250) and As at (0.250, 0.250, 0.750).

The value obtained for the magnetic moment is 0.007 μB per cell. As for the density: 6309 kg/m³. The relative energy among the computed polymorphs is 0.000 eV per atom.



DFT (PBE) results for a relaxed structure of LiAgOsS3.

The structure belongs to space group Cmcm (No. 63); the cell edges are 3.137, 14.111 and 9.492 Å and the angles 90.00°, 90.00° and 90.00°. Symmetry generates all atoms from Li at (0.000, 0.174, 0.250), Ag at (0.000, 0.160, 0.750), Os at (0.000, 0.500, 0.000), S at (0.000, 0.129, 0.507) and S at (0.000, 0.460, 0.750).

The value obtained for the magnetic moment is 0.034 μB per cell. As for the density: 6343 kg/m³. Its energy is -117.6 eV for the cell shown.